! Mo3H, relaxed, DFT PBE; values from VASP
! Fermi-level density of states (states/eV/f.u.): 3.13
! Total DFT energy (no corrections) (eV/atom): -8.60
! Energy above the lowest structure with this stoichiometry (eV per atom): 0.000
&SYSTEM
  ibrav = 0, nat = 4, ntyp = 2
/
ATOMIC_SPECIES
H 1.01 H.upf
Mo 95.94 Mo.upf
ATOMIC_POSITIONS crystal
H 0.0000 0.0504 0.0000
Mo 0.6800 0.0471 0.3600
Mo 0.5000 0.3820 0.0000
Mo 0.3200 0.6871 0.6400
CELL_PARAMETERS angstrom
-2.3550 0.8401 0.7036
-1.5174 -4.4739 0.2630
3.0757 1.6653 3.5118